{"formula": "TbYHoTm", "functional": "GGA-PBE", "state": "relaxed", "cell": [[0.000, 3.994, 3.994], [3.994, 0.000, 3.994], [3.994, 3.994, 0.000]], "species": ["Tb", "Y", "Ho", "Tm"], "fractional_positions": [[0.000, 0.000, 0.000], [0.500, 0.500, 0.500], [0.750, 0.750, 0.750], [0.250, 0.250, 0.250]], "total_magnetization_mub_per_cell": 0.01, "total_energy_ev_per_atom": -4.898, "spacegroup": "F-43m"}

{"formula": "Tb3Y2Ho6Tm", "functional": "GGA-PBE", "state": "relaxed", "cell": [[3.065, -5.303, 0.000], [3.065, 5.303, 0.000], [-2.033, 0.000, 11.547]], "species": ["Tb", "Tb", "Tb", "Y", "Y", "Ho", "Ho", "Ho", "Ho", "Ho", "Ho", "Tm"], "fractional_positions": [[0.000, 0.000, 0.000], [0.333, 0.667, 0.000], [0.667, 0.333, 0.000], [0.167, 0.833, 0.500], [0.833, 0.167, 0.500], [0.084, 0.417, 0.250], [0.251, 0.251, 0.750], [0.417, 0.084, 0.250], [0.583, 0.916, 0.750], [0.749, 0.749, 0.250], [0.916, 0.583, 0.750], [0.500, 0.500, 0.500]], "total_magnetization_mub_per_cell": 0.00, "total_energy_ev_per_atom": -4.876, "spacegroup": "C2/m"}

{"formula": "TbHoTmZn", "functional": "GGA-PBE", "state": "relaxed", "cell": [[3.538, 0.000, 0.000], [0.000, 3.538, 0.000], [0.000, 0.000, 8.572]], "species": ["Tb", "Ho", "Tm", "Zn"], "fractional_positions": [[0.000, 0.000, 0.000], [0.500, 0.500, 0.704], [0.500, 0.500, 0.293], [0.000, 0.000, 0.495]], "total_magnetization_mub_per_cell": 0.00, "total_energy_ev_per_atom": -3.903, "spacegroup": "P4mm"}

{"formula": "TbHoTmZn", "functional": "GGA-PBE", "state": "relaxed", "cell": [[0.000, 3.748, 3.748], [3.748, 0.000, 3.748], [3.748, 3.748, 0.000]], "species": ["Tb", "Ho", "Tm", "Zn"], "fractional_positions": [[0.000, 0.000, 0.000], [0.500, 0.500, 0.500], [0.750, 0.750, 0.750], [0.250, 0.250, 0.250]], "total_magnetization_mub_per_cell": 0.00, "total_energy_ev_per_atom": -3.705, "spacegroup": "F-43m"}

{"formula": "TbHoTmZr", "functional": "GGA-PBE", "state": "relaxed", "cell": [[0.000, 3.868, 3.868], [3.868, 0.000, 3.868], [3.868, 3.868, 0.000]], "species": ["Tb", "Ho", "Tm", "Zr"], "fractional_positions": [[0.000, 0.000, 0.000], [0.250, 0.250, 0.250], [0.750, 0.750, 0.750], [0.500, 0.500, 0.500]], "total_magnetization_mub_per_cell": 2.53, "total_energy_ev_per_atom": -5.347, "spacegroup": "F-43m"}

{"formula": "Tb6Ho2Tm3Zr", "functional": "GGA-PBE", "state": "relaxed", "cell": [[3.035, -5.247, 0.000], [3.035, 5.247, 0.000], [-2.002, 0.000, 11.407]], "species": ["Tb", "Tb", "Tb", "Tb", "Tb", "Tb", "Ho", "Ho", "Tm", "Tm", "Tm", "Zr"], "fractional_positions": [[0.082, 0.409, 0.746], [0.245, 0.245, 0.255], [0.409, 0.082, 0.746], [0.591, 0.918, 0.254], [0.755, 0.755, 0.745], [0.918, 0.591, 0.254], [0.333, 0.667, 0.500], [0.667, 0.333, 0.500], [0.166, 0.834, 0.000], [0.500, 0.500, 0.000], [0.834, 0.166, 0.000], [0.000, 0.000, 0.500]], "total_magnetization_mub_per_cell": 0.00, "total_energy_ev_per_atom": -4.864, "spacegroup": "C2/m"}

{"formula": "Tb2HoTm5Zr", "functional": "GGA-PBE", "state": "relaxed", "cell": [[2.729, -10.065, 0.000], [2.729, 10.065, 0.000], [0.000, 0.000, 9.923]], "species": ["Tb", "Tb", "Tb", "Tb", "Ho", "Ho", "Tm", "Tm", "Tm", "Tm", "Tm", "Tm", "Tm", "Tm", "Tm", "Tm", "Zr", "Zr"], "fractional_positions": [[0.111, 0.889, 0.500], [0.120, 0.880, 0.921], [0.880, 0.120, 0.421], [0.889, 0.111, 0.000], [0.404, 0.596, 0.637], [0.596, 0.404, 0.137], [0.016, 0.984, 0.203], [0.268, 0.732, 0.520], [0.299, 0.701, 0.889], [0.367, 0.633, 0.211], [0.482, 0.518, 0.927], [0.518, 0.482, 0.427], [0.633, 0.367, 0.711], [0.701, 0.299, 0.389], [0.732, 0.268, 0.020], [0.984, 0.016, 0.703], [0.190, 0.810, 0.207], [0.810, 0.190, 0.707]], "total_magnetization_mub_per_cell": 0.00, "total_energy_ev_per_atom": -4.795, "spacegroup": "Cmc2_1"}

{"formula": "Tb3Ho6Tm2Zr", "functional": "GGA-PBE", "state": "relaxed", "cell": [[3.029, -5.237, 0.000], [3.029, 5.237, 0.000], [-2.002, 0.000, 11.393]], "species": ["Tb", "Tb", "Tb", "Ho", "Ho", "Ho", "Ho", "Ho", "Ho", "Tm", "Tm", "Zr"], "fractional_positions": [[0.000, 0.000, 0.000], [0.333, 0.667, 0.000], [0.667, 0.333, 0.000], [0.092, 0.419, 0.256], [0.254, 0.254, 0.743], [0.419, 0.092, 0.256], [0.581, 0.908, 0.744], [0.746, 0.746, 0.257], [0.908, 0.581, 0.744], [0.167, 0.833, 0.500], [0.833, 0.167, 0.500], [0.500, 0.500, 0.500]], "total_magnetization_mub_per_cell": 0.00, "total_energy_ev_per_atom": -4.864, "spacegroup": "C2/m"}